[1]
# BaSi2TcCl

A relaxed BaSi2TcCl crystal (GGA-PBE, Alexandria).

Space-group type = P4/mmm
Size of the total moment = 0.00 μB per cell
Volume = 124 Å³/f.u.
N(E_F) = 2.45 states/eV/f.u.
Uncorrected formation energy = -384 meV per atom

a = 4.6217 Å, b = 4.6217 Å, c = 5.7964 Å
α = 90.00°, β = 90.00°, γ = 90.00°
Sites, in units of the cell vectors:
Ba 0.0000 0.0000 0.0000
Si 0.0000 0.5000 0.5000
Si 0.5000 0.0000 0.5000
Tc 0.5000 0.5000 0.5000
Cl 0.5000 0.5000 0.0000



[2]
# Ba2ZnSiCl

A relaxed Ba2ZnSiCl crystal (GGA-PBE, Alexandria).

Space-group type = P4/mmm
Size of the total moment = 0.00 μB per cell
Volume = 176 Å³/f.u.
N(E_F) = 2.58 states/eV/f.u.
Uncorrected formation energy = -627 meV per atom

a = 6.3004 Å, b = 6.3004 Å, c = 4.4312 Å
α = 90.00°, β = 90.00°, γ = 90.00°
Sites, in units of the cell vectors:
Ba 0.0000 0.5000 0.0000
Ba 0.5000 0.0000 0.0000
Zn 0.0000 0.0000 0.0000
Si 0.0000 0.0000 0.5000
Cl 0.5000 0.5000 0.5000



[3]
# Ba2SmCl6

A relaxed Ba2SmCl6 crystal (GGA-PBE, Alexandria).

Space-group type = P4_2/mnm
Size of the total moment = 2.03 μB per cell
Volume = 334 Å³/f.u.
N(E_F) = 0.71 states/eV/f.u.
Uncorrected formation energy = -2237 meV per atom

a = 7.2253 Å, b = 7.2253 Å, c = 12.8060 Å
α = 90.00°, β = 90.00°, γ = 90.00°
Sites, in units of the cell vectors:
Ba 0.0000 0.0000 0.1762
Ba 0.0000 0.0000 0.8238
Ba 0.5000 0.5000 0.3238
Ba 0.5000 0.5000 0.6762
Sm 0.0000 0.0000 0.5000
Sm 0.5000 0.5000 0.0000
Cl 0.2032 0.2032 0.3539
Cl 0.2032 0.2032 0.6461
Cl 0.2256 0.2256 0.0000
Cl 0.2744 0.7256 0.5000
Cl 0.2968 0.7032 0.1461
Cl 0.2968 0.7032 0.8539
Cl 0.7032 0.2968 0.1461
Cl 0.7032 0.2968 0.8539
Cl 0.7256 0.2744 0.5000
Cl 0.7744 0.7744 0.0000
Cl 0.7968 0.7968 0.3539
Cl 0.7968 0.7968 0.6461



[4]
# BaSmCl4

A relaxed BaSmCl4 crystal (GGA-PBE, Alexandria).

Space-group type = C2/c
Size of the total moment = 0.00 μB per cell
Volume = 177 Å³/f.u.
N(E_F) = 0.07 states/eV/f.u.
Uncorrected formation energy = -2257 meV per atom

a = 8.1923 Å, b = 8.1923 Å, c = 6.6886 Å
α = 107.85°, β = 107.85°, γ = 110.84°
Sites, in units of the cell vectors:
Ba 0.1382 0.8618 0.7500
Ba 0.8618 0.1382 0.2500
Sm 0.4977 0.5023 0.2500
Sm 0.5023 0.4977 0.7500
Cl 0.1534 0.2710 0.7806
Cl 0.2226 0.5578 0.4246
Cl 0.2710 0.1534 0.2806
Cl 0.4422 0.7774 0.0754
Cl 0.5578 0.2226 0.9246
Cl 0.7290 0.8466 0.7194
Cl 0.7774 0.4422 0.5754
Cl 0.8466 0.7290 0.2194



[5]
# BaSn3Cl

A relaxed BaSn3Cl crystal (GGA-PBE, Alexandria).

Space-group type = Pm-3m
Size of the total moment = 0.00 μB per cell
Volume = 171 Å³/f.u.
Energy above the most stable polymorph in this dataset = 0 meV per atom
N(E_F) = 4.74 states/eV/f.u.
Uncorrected formation energy = -119 meV per atom

a = 5.5492 Å, b = 5.5492 Å, c = 5.5492 Å
α = 90.00°, β = 90.00°, γ = 90.00°
Sites, in units of the cell vectors:
Ba 0.0000 0.0000 0.0000
Sn 0.0000 0.5000 0.5000
Sn 0.5000 0.0000 0.5000
Sn 0.5000 0.5000 0.0000
Cl 0.5000 0.5000 0.5000



[6]
# BaSn2Cl

A relaxed BaSn2Cl crystal (GGA-PBE, Alexandria).

Space-group type = Fm-3m
Size of the total moment = 0.00 μB per cell
Volume = 131 Å³/f.u.
Energy above the most stable polymorph in this dataset = 676 meV per atom
N(E_F) = 3.53 states/eV/f.u.
Uncorrected formation energy = -204 meV per atom

a = 5.6953 Å, b = 5.6953 Å, c = 5.6953 Å
α = 60.00°, β = 60.00°, γ = 60.00°
Sites, in units of the cell vectors:
Ba 0.0000 0.0000 0.0000
Sn 0.2500 0.2500 0.2500
Sn 0.7500 0.7500 0.7500
Cl 0.5000 0.5000 0.5000



[7]
# Ba2Sn2Cl

A relaxed Ba2Sn2Cl crystal (GGA-PBE, Alexandria).

Space-group type = P4/mbm
Size of the total moment = 0.00 μB per cell
Volume = 208 Å³/f.u.
N(E_F) = 1.49 states/eV/f.u.
Uncorrected formation energy = -1001 meV per atom

a = 9.0100 Å, b = 9.0100 Å, c = 5.1264 Å
α = 90.00°, β = 90.00°, γ = 90.00°
Sites, in units of the cell vectors:
Ba 0.1879 0.3121 0.0000
Ba 0.3121 0.8121 0.0000
Ba 0.6879 0.1879 0.0000
Ba 0.8121 0.6879 0.0000
Sn 0.1059 0.6059 0.5000
Sn 0.3941 0.1059 0.5000
Sn 0.6059 0.8941 0.5000
Sn 0.8941 0.3941 0.5000
Cl 0.0000 0.0000 0.0000
Cl 0.5000 0.5000 0.0000



[8]
# BaSnCl3

A relaxed BaSnCl3 crystal (GGA-PBE, Alexandria).

Space-group type = Pm-3m
Size of the total moment = 0.00 μB per cell
Volume = 177 Å³/f.u.
Energy above the most stable polymorph in this dataset = 22 meV per atom
N(E_F) = 4.60 states/eV/f.u.
Uncorrected formation energy = -1184 meV per atom

a = 5.6124 Å, b = 5.6124 Å, c = 5.6124 Å
α = 90.00°, β = 90.00°, γ = 90.00°
Sites, in units of the cell vectors:
Ba 0.0000 0.0000 0.0000
Sn 0.5000 0.5000 0.5000
Cl 0.0000 0.5000 0.5000
Cl 0.5000 0.0000 0.5000
Cl 0.5000 0.5000 0.0000